Entry from Alexandria via LeMat-Bulk: crystalline DyHo5Mg4 at its relaxed geometry (PBE).

Cell lengths 3.702, 3.702, 20.333 Å; angles 90.00, 90.00, 90.00 degrees
Atoms (fractional coordinates):
1 Dy 0.000 0.000 0.000
2 Ho 0.500 0.500 0.117
3 Ho 0.500 0.500 0.310
4 Ho 0.500 0.500 0.500
5 Ho 0.500 0.500 0.690
6 Ho 0.500 0.500 0.883
7 Mg 0.000 0.000 0.215
8 Mg 0.000 0.000 0.405
9 Mg 0.000 0.000 0.595
10 Mg 0.000 0.000 0.785

## Properties
E_form: -0.0432 eV per atom
total magnetization: 0.00 μB/cell